An optimized crystal structure of MgScPb2. Source: the Alexandria database, functional GGA-PBEsol.

## Properties
The value obtained for the total DFT energy (no corrections) is -17.29 eV for the cell shown. The calculation puts the formation energy at -243 meV/atom. Its space-group type is Cmmm. Its density of states at the Fermi level is 2.56 states/eV per cell.

Cell: 5.264 5.264 3.515 Å, 90.00 90.00 94.49°
Fractional coordinates of all 4 atoms:
Mg (0.000, 0.000, 0.000)
Sc (0.500, 0.500, 0.000)
Pb (0.000, 0.500, 0.500)
Pb (0.500, 0.000, 0.500)



An optimized crystal structure of MgScPb2. Source: the Alexandria database, functional GGA-PBEsol.

## Properties
The value obtained for the total DFT energy (no corrections) is -17.16 eV for the cell shown. The calculation puts the formation energy at -209 meV/atom. Its space-group type is I4/mmm. Its density of states at the Fermi level is 2.85 states/eV per cell.

Cell: 5.575 5.575 5.575 Å, 130.84 130.84 72.07°
Fractional coordinates of all 4 atoms:
Mg (0.000, 0.000, 0.000)
Sc (0.500, 0.500, 0.000)
Pb (0.250, 0.750, 0.500)
Pb (0.750, 0.250, 0.500)



An optimized crystal structure of MgScPb. Source: the Alexandria database, functional GGA-PBEsol.

## Properties
The value obtained for the total DFT energy (no corrections) is -12.52 eV for the cell shown. The calculation puts the formation energy at -67 meV/atom. Its space-group type is P3m1. Its density of states at the Fermi level is 3.62 states/eV per cell.

Cell: 3.345 3.345 7.661 Å, 90.00 90.00 120.00°
Fractional coordinates of all 3 atoms:
Mg (0.000, 0.000, 0.000)
Sc (0.333, 0.667, 0.335)
Pb (0.667, 0.333, 0.664)